(1)
DFT (PBEsol) results for a geometry-optimized Sc4InAu structure.

Geometry as POSCAR:
```
Sc4InAu
1.0
5.6420 0.0000 0.0000
2.8210 4.8861 0.0000
2.8210 1.6287 4.6067
Sc Au In
4 1 1
Direct
0.3747 0.3747 0.8759
0.3747 0.3747 0.3747
0.3747 0.8759 0.3747
0.8759 0.3747 0.3747
0.7500 0.7500 0.7500
0.0000 0.0000 0.0000
```

The value obtained for the energy of formation is 0.075 eV per atom. The space group is No. 216.


(2)
DFT (PBEsol) results for a geometry-optimized ScInAu structure.

Geometry as POSCAR:
```
ScInAu
1.0
3.4299 0.0000 0.0000
-1.7149 2.9703 0.0000
0.0000 0.0000 6.3682
In Au Sc
1 1 1
Direct
0.6667 0.3333 0.6812
0.0000 0.0000 0.0136
0.3333 0.6667 0.3052
```

The value obtained for the energy of formation is -0.388 eV per atom. The space group is No. 156.


(3)
DFT (PBEsol) results for a geometry-optimized Sc2InAu structure.

Geometry as POSCAR:
```
Sc2InAu
1.0
4.1463 0.0000 0.0000
0.0000 4.1463 0.0000
-2.0731 -2.0731 4.6553
Au Sc In
1 2 1
Direct
0.5000 0.5000 0.0000
0.7500 0.2500 0.5000
0.0000 0.0000 0.0000
0.2500 0.7500 0.5000
```

The value obtained for the energy of formation is -0.506 eV per atom. The space group is No. 119.


(4)
DFT (PBEsol) results for a geometry-optimized Sc2InAu structure.

Geometry as POSCAR:
```
Sc2InAu
1.0
3.3881 0.0000 0.0000
0.0000 4.7514 0.0000
-1.6940 -2.3757 5.1090
Sc In Au
2 1 1
Direct
0.9994 0.9994 0.9989
0.7759 0.2759 0.5518
0.2249 0.7249 0.4497
0.4998 0.4998 0.9996
```

The value obtained for the energy of formation is -0.550 eV per atom. The space group is No. 44.


(5)
DFT (PBEsol) results for a geometry-optimized InAuSe structure.

Geometry as POSCAR:
```
InAuSe
1.0
-0.8011 -3.7688 0.6519
2.8021 -1.0316 -2.5209
1.7720 2.3477 4.0377
In Se Au
1 1 1
Direct
0.3313 0.3313 0.6626
0.6745 0.6745 0.3490
0.9942 0.9942 0.9884
```

The space group is No. 107. As for the uncorrected formation energy: 0.00 eV per atom.


(6)
DFT (PBEsol) results for a geometry-optimized InAuSe2 structure.

Geometry as POSCAR:
```
InAuSe2
1.0
4.0925 0.0000 0.0000
2.0462 3.5442 0.0000
2.0462 1.1814 6.1681
Se Au In
2 1 1
Direct
0.9878 0.9878 0.0366
0.7725 0.7725 0.6825
0.4923 0.4923 0.5230
0.2474 0.2474 0.2579
```

The space group is No. 160. As for the uncorrected formation energy: -0.15 eV per atom.


(7)
DFT (PBEsol) results for a geometry-optimized InAuSe2 structure.

Geometry as POSCAR:
```
InAuSe2
1.0
3.3406 0.0000 0.0000
0.0000 3.3406 0.0000
0.0000 0.0000 7.3597
Se Au In
2 1 1
Direct
0.0000 0.0000 0.2342
0.0000 0.0000 0.7658
0.5000 0.5000 0.0000
0.5000 0.5000 0.5000
```

The space group is No. 123. As for the uncorrected formation energy: 0.20 eV per atom.


(8)
DFT (PBEsol) results for a geometry-optimized InAuSe2 structure.

Geometry as POSCAR:
```
InAuSe2
1.0
3.6440 0.0000 0.0000
0.0000 3.7355 0.0000
-1.8220 -1.8677 6.6162
Se In Au
2 1 1
Direct
0.7205 0.2205 0.4411
0.9801 0.9801 0.9601
0.2969 0.7969 0.5938
0.5025 0.5025 0.0050
```

The space group is No. 44. As for the uncorrected formation energy: -0.09 eV per atom.


(9)
DFT (PBEsol) results for a geometry-optimized InAuSe2 structure.

Geometry as POSCAR:
```
InAuSe2
1.0
5.7585 0.0000 0.0000
0.0000 5.7585 0.0000
-2.8792 -2.8792 6.5968
Au Se In
2 4 2
Direct
0.8926 0.8926 0.7853
0.1074 0.1074 0.2147
0.1709 0.5793 0.7503
0.4207 0.4207 0.2497
0.8291 0.8291 0.2497
0.5793 0.1709 0.7503
0.7500 0.2500 0.5000
0.2500 0.7500 0.5000
```

The space group is No. 121. As for the uncorrected formation energy: -0.31 eV per atom.


(10)
DFT (PBEsol) results for a geometry-optimized In3SiAu structure.

Geometry as POSCAR:
```
In3SiAu
1.0
5.1850 0.0000 0.0000
0.0000 5.1850 0.0000
0.0000 0.0000 5.1850
Au In Si
1 3 1
Direct
0.0000 0.0000 0.0000
0.0000 0.5000 0.0000
0.5000 0.0000 0.0000
0.0000 0.0000 0.5000
0.5000 0.5000 0.5000
```

The space group is No. 221. As for the uncorrected formation energy: 0.53 eV per atom.


(11)
DFT (PBEsol) results for a geometry-optimized Sm2InAu2 structure.

Geometry as POSCAR:
```
Sm2InAu2
1.0
-1.6245 -2.6673 2.1576
-4.2296 -2.4407 -6.2019
5.7452 -5.0583 -1.9275
Sm In Au
4 2 4
Direct
0.5000 0.8286 0.6714
0.5000 0.3286 0.8286
0.5000 0.1714 0.3286
0.5000 0.6714 0.1714
0.0000 0.0000 0.0000
0.0000 0.5000 0.5000
0.0000 0.1277 0.6277
0.0000 0.6277 0.8723
0.0000 0.3723 0.1277
0.0000 0.8723 0.3723
```

The value obtained for the energy of formation is -0.808 eV per atom. The space group is No. 127.


(12)
DFT (PBEsol) results for a geometry-optimized In3SnAu4 structure.

Geometry as POSCAR:
```
In3SnAu4
1.0
3.6422 0.0000 0.0000
0.0000 4.2960 0.0000
0.0000 0.0000 10.4891
Au In Sn
4 3 1
Direct
0.0000 0.5000 0.5909
0.5000 0.0000 0.9115
0.0000 0.0000 0.4094
0.5000 0.5000 0.0891
0.0000 0.5000 0.8549
0.5000 0.0000 0.6475
0.0000 0.0000 0.1425
0.5000 0.5000 0.3542
```

The value obtained for the energy of formation is -0.223 eV per atom. The space group is No. 25.


> What is the formula in the fourth record?

Sc2InAu